Record 1
GGA-PBE VCr5Os6, relaxed; crystal system = monoclinic; energy of formation from the pure elements = 0.03 eV/atom
1.0
4.268 0.002 -1.333
-0.002 5.517 -0.001
-1.389 0.000 7.189
Cr Os V
5 6 1
Cartesian
-0.001 2.758 0.000
0.868 2.759 4.373
0.849 0.001 4.367
2.030 0.001 1.489
2.008 2.760 1.481
0.006 4.129 2.377
0.743 4.124 6.521
2.133 1.395 -0.667
2.870 1.390 3.478
2.869 4.130 3.477
0.008 1.389 2.377
0.000 0.000 0.000

---

Record 2
GGA-PBE V2Cr2Os, relaxed; crystal system = monoclinic; energy of formation from the pure elements = 0.09 eV/atom
1.0
4.499 0.000 -1.321
-0.439 7.945 -1.495
-1.214 -0.658 4.186
Cr V Os
4 4 2
Cartesian
2.233 7.299 0.106
-0.051 3.960 0.647
2.897 3.327 0.723
0.612 -0.012 1.264
1.581 5.041 -0.651
-0.190 6.218 1.636
1.264 2.246 2.021
3.036 1.068 -0.267
-0.480 1.328 3.564
3.326 5.958 -2.195

---

Record 3
GGA-PBE VCr4Os, relaxed; crystal system = cubic; energy of formation from the pure elements = 0.03 eV/atom
1.0
-3.897 2.669 0.264
-4.231 -2.041 0.564
-2.302 0.425 4.111
Cr Os V
4 1 1
Cartesian
-6.505 0.657 3.080
-4.412 1.666 2.801
-4.577 -0.663 2.949
-5.366 0.447 1.046
0.000 0.000 0.000
-2.608 0.263 1.234

---

Record 4
GGA-PBE V4Cr2Os3, relaxed; crystal system = trigonal; energy of formation from the pure elements = -0.19 eV/atom
1.0
2.119 3.668 -0.137
-2.119 3.668 -0.137
0.000 0.282 7.719
Os V Cr
3 4 2
Cartesian
0.000 5.011 3.134
0.000 0.000 0.000
0.000 2.607 4.312
0.000 7.430 2.308
0.000 4.922 0.663
0.000 2.696 6.783
0.000 0.188 5.138
0.000 2.507 1.610
0.000 5.111 5.836

---

Record 5
GGA-PBE V7Cr2Os2, relaxed; crystal system = monoclinic; energy of formation from the pure elements = 0.04 eV/atom
1.0
-5.660 -0.459 -2.790
-1.390 -4.466 2.112
-2.270 3.843 2.531
V Cr Os
7 2 2
Cartesian
-6.938 -2.796 0.808
0.000 0.000 0.000
-5.637 -0.708 2.195
-7.360 1.190 1.010
-1.960 -2.270 0.843
-3.682 -0.373 -0.342
-2.382 1.715 1.044
-4.879 1.531 1.031
-4.440 -2.611 0.822
-3.107 -0.440 2.200
-6.212 -0.640 -0.347

---

Record 6
GGA-PBE VCr2Os2, relaxed; crystal system = tetragonal; energy of formation from the pure elements = 0.23 eV/atom
1.0
7.142 0.000 0.000
0.000 7.142 0.000
0.000 0.000 2.733
V Os Cr
2 4 4
Cartesian
3.571 3.571 0.000
0.000 0.000 0.000
4.538 0.967 0.000
0.967 2.604 0.000
2.604 6.175 0.000
6.175 4.538 0.000
1.174 4.745 1.367
4.745 5.969 1.367
5.969 2.397 1.367
2.397 1.174 1.367

---

Record 7
GGA-PBE V6CrOs, relaxed; crystal system = cubic; energy of formation from the pure elements = -0.16 eV/atom
1.0
6.722 0.012 -0.053
3.354 5.830 -0.088
3.380 1.976 2.698
Cr V Os
1 6 1
Cartesian
6.728 3.909 1.278
10.944 4.415 1.934
8.413 5.849 1.939
10.919 7.326 1.903
2.536 0.492 0.654
5.043 1.969 0.617
2.512 3.402 0.623
0.000 0.000 0.000

---

Record 8
GGA-PBE V4Cr2Os, relaxed; crystal system = tetragonal; energy of formation from the pure elements = 1.15 eV/atom
1.0
4.561 0.000 0.000
0.000 4.561 0.000
2.280 2.280 6.104
V Cr Os
4 2 1
Cartesian
2.280 0.000 0.000
0.000 2.280 0.000
2.280 2.280 3.696
4.561 4.561 2.408
2.280 2.280 1.421
4.561 4.561 4.682
0.000 0.000 0.000

---

Record 9
GGA-PBE V6Cr5Os, relaxed; crystal system = monoclinic; energy of formation from the pure elements = -0.18 eV/atom
1.0
-3.096 -2.738 0.238
0.219 -0.754 -5.817
5.565 -2.871 3.543
Cr V Os
5 6 1
Cartesian
-0.061 -3.287 -2.538
0.110 -0.377 -2.908
2.858 -3.453 -2.406
2.749 -3.076 0.502
-0.170 -2.910 0.371
1.556 -2.121 -4.092
-1.385 -1.929 -4.206
1.448 -1.748 -1.216
1.241 -4.615 -0.820
1.132 -4.242 2.056
4.073 -4.433 2.170
0.000 0.000 0.000

---

Record 10
GGA-PBE V4CrOs3, relaxed; crystal system = orthorhombic; energy of formation from the pure elements = -0.28 eV/atom
1.0
2.986 0.000 0.000
0.000 4.256 0.000
0.000 0.000 8.465
Cr V Os
1 4 3
Cartesian
1.493 2.128 0.000
0.000 2.128 6.457
0.000 0.000 0.000
0.000 0.000 4.232
0.000 2.128 2.007
1.493 2.128 4.232
1.493 0.000 2.109
1.493 0.000 6.356

---

Record 11
GGA-PBE VCr4Os, relaxed; crystal system = triclinic; energy of formation from the pure elements = -0.05 eV/atom
1.0
-1.649 -1.665 1.712
0.756 -4.601 -1.268
4.785 -1.852 2.801
V Cr Os
1 4 1
Cartesian
1.951 -4.042 1.635
2.422 -6.446 2.210
1.479 -1.638 1.059
3.809 -2.511 2.445
0.092 -5.573 0.824
-0.442 -3.116 0.234

---

Record 12
GGA-PBE V2CrOs2, relaxed; crystal system = tetragonal; energy of formation from the pure elements = 0.18 eV/atom
1.0
-6.178 2.093 -3.054
1.939 -3.231 -6.138
-1.261 -2.433 0.883
Os V Cr
4 4 2
Cartesian
-0.180 -0.862 -2.632
-3.689 0.885 -2.828
-4.059 -0.277 -6.559
-0.550 -2.024 -6.363
-5.177 -0.562 -4.246
-0.323 -3.010 -4.063
-2.452 -1.002 -1.567
-3.048 -2.570 -6.742
-2.119 -0.569 -4.596
0.000 0.000 0.000